## Er6Ga2Sb (GGA-PBE)

Data for a relaxed structure of Er6Ga2Sb.

Computed properties:
Size of the total moment (μB/cell): 0.00
Formation energy without anion corrections (eV/atom): -0.5051

```
data_Er6Ga2Sb
_cell_length_a 9.4237
_cell_length_b 9.5835
_cell_length_c 10.5458
_cell_angle_alpha 90.00
_cell_angle_beta 90.00
_cell_angle_gamma 90.00
_symmetry_space_group_name_H-M 'I m m m'
_symmetry_Int_Tables_number 71
_symmetry_space_group_name_Hall '-I 2 2'
loop_
_atom_site_label
_atom_site_type_symbol
_atom_site_fract_x
_atom_site_fract_y
_atom_site_fract_z
Er1 Er 0.0000 0.2015 0.1783
Er2 Er 0.1836 0.2239 0.5000
Er3 Er 0.2030 0.5000 0.2573
Ga1 Ga 0.0000 0.0000 0.3800
Ga2 Ga 0.1451 0.0000 0.0000
Sb1 Sb 0.0000 0.5000 0.0000
Sb2 Sb 0.0000 0.5000 0.5000
```

## CoMo2Ir (GGA-PBE)

Data for a relaxed structure of CoMo2Ir.

Computed properties:
Size of the total moment (μB/cell): 1.40
Polymorph energy (0 for the lowest one) (eV/atom): 0.231
ΔE_f (kcal/mol of atoms): 2.267

```
data_CoMo2Ir
_cell_length_a 2.7354
_cell_length_b 2.7354
_cell_length_c 26.5009
_cell_angle_alpha 90.00
_cell_angle_beta 90.00
_cell_angle_gamma 120.00
_symmetry_space_group_name_H-M 'R -3 m'
_symmetry_Int_Tables_number 166
_symmetry_space_group_name_Hall '-R 3 2"'
loop_
_atom_site_label
_atom_site_type_symbol
_atom_site_fract_x
_atom_site_fract_y
_atom_site_fract_z
Co1 Co 0.0000 0.0000 0.0000
Mo1 Mo 0.0000 0.0000 0.2528
Ir1 Ir 0.0000 0.0000 0.5000
```

## SmGa2AgPt5 (GGA-PBE)

Data for a relaxed structure of SmGa2AgPt5.

Computed properties:
Size of the total moment (μB/cell): 0.00
ΔE_f (kcal/mol of atoms): -13.555

```
data_SmGa2AgPt5
_cell_length_a 4.1092
_cell_length_b 4.1092
_cell_length_c 9.6324
_cell_angle_alpha 90.00
_cell_angle_beta 90.00
_cell_angle_gamma 90.00
_symmetry_space_group_name_H-M 'P 4/m m m'
_symmetry_Int_Tables_number 123
_symmetry_space_group_name_Hall '-P 4 2'
loop_
_atom_site_label
_atom_site_type_symbol
_atom_site_fract_x
_atom_site_fract_y
_atom_site_fract_z
Sm1 Sm 0.0000 0.0000 0.0000
Ga1 Ga 0.5000 0.5000 0.3737
Ag1 Ag 0.0000 0.0000 0.5000
Pt1 Pt 0.0000 0.5000 0.2262
Pt2 Pt 0.5000 0.5000 0.0000
```

## Ac6CoRh2I3 (GGA-PBE)

Data for a relaxed structure of Ac6CoRh2I3.

Computed properties:
Size of the total moment (μB/cell): 0.00
Formation energy without anion corrections (eV/atom): -0.8984

```
data_Ac6CoRh2I3
_cell_length_a 7.5193
_cell_length_b 13.0237
_cell_length_c 9.0118
_cell_angle_alpha 90.00
_cell_angle_beta 106.15
_cell_angle_gamma 90.00
_symmetry_space_group_name_H-M 'C 1 2/m 1'
_symmetry_Int_Tables_number 12
_symmetry_space_group_name_Hall '-C 2y'
loop_
_atom_site_label
_atom_site_type_symbol
_atom_site_fract_x
_atom_site_fract_y
_atom_site_fract_z
Ac1 Ac 0.2242 0.1631 0.1832
Ac2 Ac 0.2349 0.5000 0.1835
Co1 Co 0.0000 0.0000 0.0000
Rh1 Rh 0.0000 0.3334 0.0000
I1 I 0.0000 0.1667 0.5000
I2 I 0.0000 0.5000 0.5000
```